Compound: AlCoI2O
Source: Alexandria via LeMat-Bulk
Functional: PBE+U
Structure: optimized geometry

Structure (POSCAR):
```
AlCoI2O
1.0
5.681 0.000 0.000
0.000 5.681 0.000
0.000 0.000 3.503
I Co Al O
2 1 1 1
Cartesian
0.000 2.840 0.000
2.840 0.000 0.000
2.840 2.840 1.752
0.000 0.000 0.000
0.000 0.000 1.752
```

Calculated values
relative energy among the computed polymorphs	0	meV/atom
M_tot	2.6	μB per formula unit